4
Lattice="4.3674 0.0000 0.0000 0.0000 4.4362 0.0000 0.0000 0.0000 6.0016" Properties=species:S:1:pos:R:3 comment="InSb2Se, optimized geometry, DFT PBE-GGA" relative_energy_mev_per_atom=52 dft_energy_ev_per_atom=-3.76 raw_formation_energy_ev_per_atom=-0.1445 n_ef_per_ev_atom=0.563 pbc="T T T"
In 0.0000 0.0000 0.0000
Sb 0.0000 0.0000 2.9862
Sb 2.1837 2.2181 3.1831
Se 2.1837 2.2181 5.8382